Density functional theory data (GGA-PBE) for Sm2TmTe4 after structural relaxation.

## Properties
For the distance to the lowest polymorph of the same formula, the calculation gives 0.0 kJ/mol of atoms. The value obtained for the uncorrected formation energy is -1380 meV per atom. As for the total magnetic moment: 0.0 μB/f.u. Its space group is No. 12.

Structure (extended XYZ):
```
7
Lattice="-0.8159 -1.8333 3.8936 5.4697 -5.2419 -1.3219 2.5311 7.9023 1.7873" Properties=species:S:1:pos:R:3 pbc="T T T"
Te 1.6707 -0.6631 2.5018
Te 5.5141 1.4902 1.8572
Te 2.3671 3.3459 4.5353
Te 4.8177 -2.5188 -0.1764
Sm 4.7454 -1.4964 2.7538
Sm 2.4394 2.3235 1.6052
Tm 0.0000 0.0000 0.0000
```



Density functional theory data (GGA-PBE) for ThMnSi2Ni5 after structural relaxation.

## Properties
The value obtained for the uncorrected formation energy is -166 meV per atom. As for the total magnetic moment: 4.0 μB/f.u. Its space group is No. 123.

Structure (extended XYZ):
```
9
Lattice="-3.7877 -0.5160 -0.3046 0.5462 -3.7747 -0.3984 -0.6210 -1.1022 9.5908" Properties=species:S:1:pos:R:3 pbc="T T T"
Si -1.7901 -2.4459 2.2640
Si -2.0724 -2.9470 6.6238
Mn 0.0000 0.0000 0.0000
Ni -0.2538 -2.8225 7.9379
Ni -2.4207 -1.1931 7.9849
Ni -1.9880 -0.4251 1.3014
Ni 0.1790 -2.0544 1.2545
Ni -1.9312 -2.6965 4.4439
Th -0.3105 -0.5511 4.7954
```



Density functional theory data (GGA-PBE) for Tm2ZrN after structural relaxation.

## Properties
The value obtained for the uncorrected formation energy is -623 meV per atom. As for the total magnetic moment: 0.0 μB/f.u. Its space group is No. 166.

Structure (extended XYZ):
```
4
Lattice="3.2971 0.0000 0.0000 1.6486 2.8554 0.0000 1.6486 0.9518 9.0505" Properties=species:S:1:pos:R:3 pbc="T T T"
N 3.2971 1.9036 4.5252
Tm 4.9457 2.8554 3.1880
Tm 1.6486 0.9518 5.8625
Zr 0.0000 0.0000 0.0000
```



Density functional theory data (GGA-PBE) for NaPuCd14 after structural relaxation.

## Properties
As for the formation enthalpy at 0 K: -0.0242 eV/atom. As for the total magnetic moment: 5.8 μB/f.u. Its space group is No. 123.

Structure (extended XYZ):
```
16
Lattice="6.6033 -0.0143 0.0000 0.0138 6.6033 0.0000 0.0000 0.0000 8.6435" Properties=species:S:1:pos:R:3 pbc="T T T"
Na 2.4814 2.4709 4.3217
Cd 4.1040 0.8415 6.5504
Cd 4.1108 4.0934 2.0931
Cd 0.8589 4.1003 2.0931
Cd 2.4883 5.7726 0.0000
Cd 4.1040 0.8415 2.0931
Cd 5.7831 2.4637 0.0000
Cd 0.8520 0.8484 6.5503
Cd 4.1108 4.0934 6.5504
Cd 0.8520 0.8484 2.0932
Cd 5.7831 2.4638 4.3217
Cd 2.4883 5.7725 4.3217
Cd 0.8589 4.1003 6.5504
Cd 5.7900 5.7654 0.0000
Cd 2.4814 2.4709 0.0000
Pu 5.7899 5.7654 4.3217
```



Density functional theory data (GGA-PBE) for Li2Pm3Pt7 after structural relaxation.

## Properties
As for the formation enthalpy at 0 K: -0.9305 eV/atom. As for the total magnetic moment: 0.0 μB/f.u. Its space group is No. 166.

Structure (extended XYZ):
```
12
Lattice="5.2323 0.0000 1.6377 2.3599 4.6699 1.6377 0.0376 0.0231 9.0572" Properties=species:S:1:pos:R:3 pbc="T T T"
Pm 0.0000 0.0000 0.0000
Pm 1.0763 0.6620 5.7385
Pm 6.5535 4.0310 6.5941
Pt 4.4445 2.7338 8.7981
Pt 3.8149 2.3465 6.1663
Pt 4.3793 4.3221 4.3631
Pt 3.1853 1.9593 3.5345
Pt 5.8327 1.9593 4.3631
Pt 3.2505 0.3710 7.9695
Pt 1.7972 2.7338 7.9695
Li 5.0498 3.1061 2.2211
Li 2.5801 1.5870 10.1116
```



Density functional theory data (GGA-PBE) for Ce2TmGa3Ir4 after structural relaxation.

## Properties
As for the formation enthalpy at 0 K: -0.7052 eV/atom. As for the total magnetic moment: 1.4 μB/f.u. Its space group is No. 115.

Structure (extended XYZ):
```
10
Lattice="-3.6888 0.5557 -1.9423 1.1885 -2.6729 -3.0219 -4.3483 -8.5154 5.8220" Properties=species:S:1:pos:R:3 pbc="T T T"
Ir -1.2502 -1.0586 -2.4821
Ir 0.0000 0.0000 0.0000
Ir -4.7002 -5.3147 2.8525
Ir -0.8983 -4.2593 0.4874
Ga -2.1742 -4.2577 2.9110
Ga 0.0707 -2.3617 -0.8100
Ga -5.6692 -7.2123 4.1499
Tm -3.4243 -5.3163 0.4289
Ce -2.7807 -7.9456 3.0077
Ce -2.8178 -1.6284 0.3322
```



Density functional theory data (GGA-PBE) for Pu6Ge2Pd after structural relaxation.

## Properties
As for the formation enthalpy at 0 K: -0.1497 eV/atom. As for the total magnetic moment: 10.8 μB/f.u. Its space group is No. 14.

Structure (extended XYZ):
```
18
Lattice="7.9139 0.0000 0.1585 0.0000 6.3922 0.0000 -0.8479 0.0000 7.9109" Properties=species:S:1:pos:R:3 pbc="T T T"
Pu 5.7137 5.6822 1.3998
Pu 2.0031 5.2141 0.4206
Pu 5.7332 2.4861 2.7933
Pu 6.3357 4.4981 7.5574
Pu 0.7303 1.8941 0.5120
Pu 2.8027 5.0902 3.5227
Pu 5.5361 4.3743 4.4553
Pu 5.0629 1.1781 7.6487
Pu 1.3523 0.7101 6.6695
Pu 1.5299 2.0180 3.6141
Pu 1.3328 3.9062 5.2760
Pu 4.2633 1.3020 4.5466
Pd -0.4240 0.0000 3.9554
Pd 3.9570 3.1961 0.0793
Ge 3.6383 5.2647 6.5183
Ge 0.1053 4.3237 2.4836
Ge 6.9607 2.0686 5.5858
Ge 3.4277 1.1275 1.5511
```



Density functional theory data (GGA-PBE) for KSr2SbI after structural relaxation.

## Properties
The value obtained for the uncorrected formation energy is -382 meV per atom. As for the total magnetic moment: 0.0 μB/f.u. Its space group is No. 123.

Structure (extended XYZ):
```
5
Lattice="-2.7542 -5.4753 0.7816 4.8279 -1.9719 3.1989 -2.6109 2.0569 5.2085" Properties=species:S:1:pos:R:3 pbc="T T T"
K 2.4140 -0.9860 1.5995
Sb -0.2686 -2.6952 4.5945
Sr -1.3055 1.0285 2.6042
Sr -1.3771 -2.7377 0.3908
I 0.0000 0.0000 0.0000
```